{"formula": "Ac3AgC2N6", "functional": "PBE", "state": "relaxed", "cell": [[-5.387, 1.579, 0.650], [1.737, -5.001, 1.977], [1.548, 2.860, 5.873]], "species": ["Ac", "Ac", "Ac", "Ag", "C", "C", "N", "N", "N", "N", "N", "N"], "fractional_positions": [[0.333, 0.667, 0.668], [0.667, 0.333, 0.332], [0.000, 0.000, 0.000], [0.000, 0.000, 0.500], [0.667, 0.333, 0.747], [0.333, 0.667, 0.253], [0.614, 0.807, 0.260], [0.193, 0.386, 0.260], [0.193, 0.807, 0.260], [0.807, 0.614, 0.740], [0.386, 0.193, 0.740], [0.807, 0.193, 0.740]], "vol_a3_per_atom": 15.470, "sg": "No. 164", "raw_formation_energy_ev_per_atom": -0.53, "crystal_system": "trigonal", "total_magnetization_mub_per_cell": 0.00}